1.
The following is a PBE calculation of a geometry-optimized Ce6RuPt3 structure, from Alexandria via LeMat-Bulk.

a = 6.7170 Å, b = 7.6068 Å, c = 12.4394 Å
α = 90.00°, β = 122.55°, γ = 90.00°
Space group P2_1/c (No. 14)
Inequivalent atoms, fractional coordinates:
Ce  0.0835  0.0562  0.2452 (multiplicity 4)
Ce  0.2330  0.6823  0.0780 (multiplicity 4)
Ce  0.4079  0.1708  0.0762 (multiplicity 4)
Ru  0.0000  0.0000  0.0000 (multiplicity 2)
Pt  0.3033  0.1154  0.7478 (multiplicity 4)
Pt  0.5000  0.0000  0.5000 (multiplicity 2)

Values from the calculation:
Calculated formation energy ... -0.66 eV per atom
Spin magnetization ... 5.10 μB per formula unit

=====

2.
The following is a PBE calculation of a geometry-optimized Ac2AlPdAu6 structure, from Alexandria via LeMat-Bulk.

a = 12.5406 Å, b = 5.5288 Å, c = 9.0860 Å
α = 90.00°, β = 130.91°, γ = 90.00°
Space group C2/m (No. 12)
Inequivalent atoms, fractional coordinates:
Ac  0.2248  0.0000  0.1931 (multiplicity 4)
Al  0.0000  0.0000  0.5000 (multiplicity 2)
Pd  0.0000  0.5000  0.0000 (multiplicity 2)
Au  0.0152  0.2515  0.7499 (multiplicity 8)
Au  0.2478  0.5000  0.3988 (multiplicity 4)

Values from the calculation:
Calculated formation energy ... -0.59 eV per atom
Spin magnetization ... 0.00 μB per formula unit

=====

3.
The following is a PBE calculation of a geometry-optimized Pu2AlFe5B2 structure, from Alexandria via LeMat-Bulk.

a = 9.0370 Å, b = 9.0370 Å, c = 3.0368 Å
α = 90.00°, β = 90.00°, γ = 90.00°
Space group P4/mbm (No. 127)
Inequivalent atoms, fractional coordinates:
Pu  0.1779  0.3221  0.0000 (multiplicity 4)
Al  0.0000  0.0000  0.0000 (multiplicity 2)
Fe  0.0000  0.5000  0.5000 (multiplicity 2)
Fe  0.0700  0.7741  0.5000 (multiplicity 8)
B  0.1181  0.6181  0.0000 (multiplicity 4)

Values from the calculation:
Calculated formation energy ... -0.24 eV per atom
Spin magnetization ... 4.01 μB per formula unit

=====

4.
The following is a PBE calculation of a geometry-optimized LiPtSeI structure, from Alexandria via LeMat-Bulk.

a = 8.1109 Å, b = 3.2152 Å, c = 8.2536 Å
α = 90.00°, β = 100.84°, γ = 90.00°
Space group Cm (No. 8)
Inequivalent atoms, fractional coordinates:
Li  0.0000  0.0000  0.0000 (multiplicity 2)
Pt  0.2411  0.5000  0.2231 (multiplicity 2)
Se  0.4686  0.0000  0.3032 (multiplicity 2)
I  0.2457  0.0000  0.7803 (multiplicity 2)

Values from the calculation:
ΔE_f (raw) ... -0.399 eV/atom
Spin magnetization ... 0.00 μB per formula unit

=====

5.
The following is a PBE calculation of a geometry-optimized Li2FeMo structure, from Alexandria via LeMat-Bulk.

a = 3.3791 Å, b = 3.3791 Å, c = 4.6140 Å
α = 90.00°, β = 90.00°, γ = 90.00°
Space group P4/mmm (No. 123)
Inequivalent atoms, fractional coordinates:
Li  0.0000  0.5000  0.0000 (multiplicity 2)
Fe  0.0000  0.0000  0.5000 (multiplicity 1)
Mo  0.5000  0.5000  0.5000 (multiplicity 1)

Values from the calculation:
Calculated formation energy ... 0.36 eV per atom
Spin magnetization ... 0.00 μB per formula unit

=====

6.
The following is a PBE calculation of a geometry-optimized CdTeW2 structure, from Alexandria via LeMat-Bulk.

a = 4.2213 Å, b = 4.2213 Å, c = 8.3621 Å
α = 90.00°, β = 90.00°, γ = 90.00°
Space group I-4m2 (No. 119)
Inequivalent atoms, fractional coordinates:
Cd  0.0000  0.0000  0.0000 (multiplicity 2)
Te  0.0000  0.5000  0.7500 (multiplicity 2)
W  0.0000  0.0000  0.5000 (multiplicity 2)
W  0.0000  0.5000  0.2500 (multiplicity 2)

Values from the calculation:
ΔE_f (raw) ... 0.977 eV/atom
Spin magnetization ... 0.00 μB per formula unit